{"formula": "P2PdPbO", "functional": "PBE", "state": "relaxed", "lattice": [[5.268, 0.000, 0.000], [0.000, 5.268, 0.000], [0.000, 0.000, 4.087]], "species": ["Pb", "P", "P", "O", "Pd"], "fractional_positions": [[0.000, 0.000, 0.000], [0.000, 0.500, 0.000], [0.500, 0.000, 0.000], [0.000, 0.000, 0.500], [0.500, 0.500, 0.500]], "e_tot_ev_per_cell": -19.486, "space_group": "No. 123", "raw_formation_energy_ev_per_atom": 1.04, "volume_a3_per_atom": 22.7}